## BiTe2CN (PBE-GGA)

Data for crystalline BiTe2CN at its relaxed geometry.

Cell: 6.819 6.819 2.687 Å, 90.00 90.00 90.00°
Space group P4/mmm (No. 123)
Asymmetric unit:
Bi1 0.000 0.000 0.000 x1
Te1 0.000 0.500 0.500 x2
C1 0.500 0.500 0.500 x1
N1 0.500 0.500 0.000 x1

* excess energy over the best structure of this formula in the dataset: 0.00 kJ per mole of atoms
* volume: 24.99 Å³/atom

---

## BiTe2CN (PBE-GGA)

Data for crystalline BiTe2CN at its relaxed geometry.

Cell: 5.981 5.981 4.333 Å, 90.00 90.00 90.00°
Space group P4/mmm (No. 123)
Asymmetric unit:
Bi1 0.000 0.000 0.000 x1
Te1 0.000 0.500 0.000 x2
C1 0.500 0.500 0.500 x1
N1 0.000 0.000 0.500 x1

* excess energy over the best structure of this formula in the dataset: 137.36 kJ per mole of atoms
* volume: 31.00 Å³/atom

---

## Th4Bi2CN2 (PBE-GGA)

Data for crystalline Th4Bi2CN2 at its relaxed geometry.

Cell: 14.578 4.121 7.509 Å, 90.00 108.64 90.00°
Space group C2/m (No. 12)
Asymmetric unit:
Th1 0.019 0.000 0.280 x4
Th2 0.198 0.500 0.650 x4
Bi1 0.135 0.500 0.049 x4
C1 0.000 0.500 0.500 x2
N1 0.173 0.000 0.490 x4

* volume: 23.75 Å³/atom
* raw total energy: -8.065 eV/atom

---

## Na2Bi2C (PBE-GGA)

Data for crystalline Na2Bi2C at its relaxed geometry.

Cell: 6.743 6.743 5.408 Å, 90.00 90.00 90.00°
Space group P4/mbm (No. 127)
Asymmetric unit:
Na1 0.161 0.339 0.000 x4
Bi1 0.168 0.668 0.500 x4
C1 0.000 0.000 0.000 x2

* excess energy over the best structure of this formula in the dataset: 0.00 kJ per mole of atoms
* energy relative to the elements: 0.9575 eV/atom
* volume: 24.59 Å³/atom

---

## NaBiC3 (PBE-GGA)

Data for crystalline NaBiC3 at its relaxed geometry.

Cell: 4.364 4.364 4.364 Å, 90.00 90.00 90.00°
Space group Pm-3m (No. 221)
Asymmetric unit:
Na1 0.000 0.000 0.000 x1
Bi1 0.500 0.500 0.500 x1
C1 0.000 0.000 0.500 x3

* excess energy over the best structure of this formula in the dataset: 36.79 kJ per mole of atoms
* energy relative to the elements: 3.3194 eV/atom
* volume: 16.62 Å³/atom

---

## Na2Bi2C (PBE-GGA)

Data for crystalline Na2Bi2C at its relaxed geometry.

Cell: 4.398 4.398 17.270 Å, 90.00 90.00 90.00°
Space group I4/mmm (No. 139)
Asymmetric unit:
Na1 0.000 0.000 0.093 x4
Bi1 0.000 0.500 0.250 x4
C1 0.000 0.000 0.500 x2

* excess energy over the best structure of this formula in the dataset: 15.16 kJ per mole of atoms
* energy relative to the elements: 1.1146 eV/atom
* volume: 33.40 Å³/atom

---

## NaBiC3 (PBE-GGA)

Data for crystalline NaBiC3 at its relaxed geometry.

Cell: 4.640 4.640 4.640 Å, 90.00 90.00 90.00°
Space group Pm-3m (No. 221)
Asymmetric unit:
Na1 0.000 0.000 0.000 x1
Bi1 0.500 0.500 0.500 x1
C1 0.000 0.500 0.500 x3

* excess energy over the best structure of this formula in the dataset: 0.00 kJ per mole of atoms
* energy relative to the elements: 2.9380 eV/atom
* volume: 19.98 Å³/atom

---

## NaBiC2 (PBE-GGA)

Data for crystalline NaBiC2 at its relaxed geometry.

Cell: 6.122 6.122 8.890 Å, 90.00 90.00 90.00°
Space group I-42d (No. 122)
Asymmetric unit:
Na1 0.000 0.000 0.000 x4
Bi1 0.000 0.000 0.500 x4
C1 0.212 0.250 0.625 x8

* energy relative to the elements: 1.8474 eV/atom
* volume: 20.82 Å³/atom

---

Repeat the fifth record exactly.
## NaBiC3 (PBE-GGA)

Data for crystalline NaBiC3 at its relaxed geometry.

Cell: 4.364 4.364 4.364 Å, 90.00 90.00 90.00°
Space group Pm-3m (No. 221)
Asymmetric unit:
Na1 0.000 0.000 0.000 x1
Bi1 0.500 0.500 0.500 x1
C1 0.000 0.000 0.500 x3

* excess energy over the best structure of this formula in the dataset: 36.79 kJ per mole of atoms
* energy relative to the elements: 3.3194 eV/atom
* volume: 16.62 Å³/atom

---

- Among the records above, which one has the lowest volume?
  number 5

---

- What is the formula in the fifth record?
  NaBiC3